Compound: La5Mo4O16
Source: the Alexandria database
Functional: PBE with a Hubbard U
Structure: optimized geometry

```
25
Lattice="5.7038 0.0103 -0.0085 -0.0054 5.7092 0.0045 -0.7632 -0.6359 10.5318" Properties=species:S:1:pos:R:3 pbc="T T T"
La 0.0206 2.7853 2.3028
La -0.3816 -0.3179 5.2659
La 2.1366 5.0411 8.3856
La 4.9147 2.2983 8.2250
La 2.7987 0.0425 2.1423
O 0.3192 0.3794 1.8454
O 1.4333 4.2275 3.7993
O 4.6502 3.9940 0.4972
O 0.7287 0.7836 7.0901
O 3.5273 3.5624 5.9498
O 4.2066 4.3000 3.4377
O 1.4080 1.5212 4.5781
O 2.4130 2.4694 2.0597
O 4.6160 4.7042 8.6825
O 3.9180 1.0053 0.0365
O 3.5019 0.8560 6.7286
O 0.7817 3.5918 6.7170
O 0.2850 1.0896 10.0307
O 2.5222 2.6142 8.4682
O 1.0172 4.0783 10.4913
O 4.1536 1.4918 3.8108
Mo 2.8791 2.9509 4.1584
Mo 2.8492 2.8597 -0.0020
Mo 0.0000 0.0000 0.0000
Mo 2.0562 2.1327 6.3695
```

Output
Volume: 13.72 Å³/atom
SG: P-1 (2)
E: -197.8 eV per cell
Magnetic moment: 5.00 Bohr magnetons per cell